Al8Zn2Ni3 | PBE | optimized geometry

Cell lengths 4.0646, 8.1336, 7.2758 Å; angles 124.01, 90.00, 90.00 degrees
Last column: nearest neighbours and their distance in Å.
Positions (direct):
Al 0.0000 0.1214 0.2428  4 Ni 2.48-2.50, 2 Zn 2.56
Al 0.0000 0.6142 0.2282  2 Ni 2.47-2.48, 2 Zn 2.60, 1 Al 2.75
Al 0.5000 0.6266 0.7654  3 Ni 2.48-2.52, 2 Zn 2.54-2.63
Al 0.5000 0.1383 0.7648  3 Ni 2.48-2.52, 2 Zn 2.54-2.63
Al 0.5000 0.8617 0.2352  3 Ni 2.48-2.52, 2 Zn 2.54-2.63
Al 0.0000 0.3858 0.7718  2 Ni 2.47-2.48, 2 Zn 2.60, 1 Al 2.75
Al 0.5000 0.3734 0.2346  3 Ni 2.48-2.52, 2 Zn 2.54-2.63
Al 0.0000 0.8786 0.7572  4 Ni 2.48-2.50, 2 Zn 2.56
Ni 0.5000 0.0000 0.0000  8 Al 2.50-2.52
Ni 0.0000 0.7533 0.0004  8 Al 2.47-2.49
Ni 0.0000 0.2467 0.9996  8 Al 2.47-2.49
Zn 0.5000 0.2511 0.5019  8 Al 2.54-2.63
Zn 0.5000 0.7489 0.4981  8 Al 2.54-2.63

Properties
Formation enthalpy at 0 K: -0.292 eV per atom
D(E_F): 0.28 states/eV per atom
Density: 4.35 g/cm3